First-principles (GGA+U) data for CsRb3Cr2F9 after structural relaxation, as listed in the Alexandria database.

abc: 6.0955 6.0955 9.0109
angles: 90.00 90.00 120.00
Space group P-3m1 (No. 164)
Symmetry-distinct sites (fractional):
Cs1 0.0000 0.0000 0.0000 [1 per cell]
Rb1 0.0000 0.0000 0.5000 [1 per cell]
Rb2 0.3333 0.6667 0.2357 [2 per cell]
Cr1 0.3333 0.6667 0.6341 [2 per cell]
F1 0.0000 0.5000 0.5000 [3 per cell]
F2 0.1782 0.3564 0.7568 [6 per cell]

E_tot = -76.2 eV per formula unit
total magnetic moment = 7.0 μB/cell
DOS at the Fermi energy = 5.6 states/eV per cell
V = 19.33 Å³ per atom